Entry 1:
Entry from Alexandria via LeMat-Bulk: a PBEsol-optimized structure of HgIrOsC2 (SCAN).

Results
E: -42.64 eV/atom
Energy relative to the elements: 3.63 eV per atom
Mass density: 12.462 g cm⁻³
DOS at the Fermi energy: 0.693 states/eV per atom

abc: 3.951 3.951 5.181
angles: 90.00 90.00 90.00
Element x y z (fractional)
Hg 0.000 0.000 0.000
Ir 0.000 0.000 0.500
Os 0.500 0.500 0.500
C 0.000 0.500 0.000
C 0.500 0.000 0.000

Entry 2:
Entry from Alexandria via LeMat-Bulk: a PBEsol-optimized structure of K2HgMoC (SCAN).

Results
E: -25.06 eV/atom
Energy relative to the elements: 0.90 eV per atom
Mass density: 3.855 g cm⁻³
DOS at the Fermi energy: 0.481 states/eV per atom

abc: 6.540 6.540 3.895
angles: 90.00 90.00 90.00
Element x y z (fractional)
K 0.000 0.500 0.000
K 0.500 0.000 0.000
Hg 0.000 0.000 0.500
Mo 0.500 0.500 0.000
C 0.500 0.500 0.500

Question: Look up the DOS at the Fermi energy of the second one.
Answer: 0.481 states/eV per atom